#P
The following is a DFT calculation (GGA-PBEsol) of a geometry-optimized BeTl2AgCl structure.

a = 4.419 Å, b = 5.445 Å, c = 5.445 Å
α = 90.00°, β = 90.00°, γ = 90.00°
Positions (direct):
Be 0.500 0.000 0.000
Tl 0.000 0.500 0.000
Ag 0.000 0.000 0.000
Cl 0.500 0.500 0.500
Tl 0.000 0.000 0.500

Results
D(E_F)   1.44 states/eV/f.u.

#Q
The following is a DFT calculation (GGA-PBEsol) of a geometry-optimized BeTl2AgCl structure.

a = 4.486 Å, b = 5.050 Å, c = 5.050 Å
α = 90.00°, β = 90.00°, γ = 90.00°
Positions (direct):
Ag 0.500 0.000 0.000
Cl 0.500 0.500 0.500
Tl 0.000 0.000 0.500
Be 0.000 0.000 0.000
Tl 0.000 0.500 0.000

Results
D(E_F)   1.34 states/eV/f.u.

Most stable structure: #Q

#P
The following is a DFT calculation (GGA-PBEsol) of a geometry-optimized BeCoAg structure.

a = 3.893 Å, b = 3.893 Å, c = 3.893 Å
α = 60.00°, β = 60.00°, γ = 60.00°
Each line ends with the local moment (μB).
Positions (direct):
Be 0.500 0.500 0.500  -0.04
Ag 0.000 0.000 0.000  0.04
Co 0.250 0.250 0.250  0.85

Results
D(E_F)   5.89 states/eV/f.u.

#Q
The following is a DFT calculation (GGA-PBEsol) of a geometry-optimized BeCoAg structure.

a = 2.610 Å, b = 3.951 Å, c = 3.951 Å
α = 120.00°, β = 90.00°, γ = 90.00°
Each line ends with the local moment (μB).
Positions (direct):
Co 0.446 0.667 0.333  1.05
Ag 0.976 0.000 0.000  0.00
Be 0.578 0.333 0.667  -0.03

Results
D(E_F)   2.83 states/eV/f.u.

Most stable structure: #Q

#P
The following is a DFT calculation (GGA-PBEsol) of a geometry-optimized Be2AgGe structure.

a = 5.318 Å, b = 5.318 Å, c = 5.318 Å
α = 104.80°, β = 104.80°, γ = 119.28°
Positions (direct):
Be 0.125 0.611 0.986
Ag 0.000 0.000 0.000
Be 0.389 0.375 0.514
Ge 0.750 0.250 0.500
Ag 0.250 0.750 0.500
Be 0.625 0.139 0.014
Ge 0.500 0.500 0.000
Be 0.861 0.875 0.486

Results
D(E_F)   1.56 states/eV/f.u.

#Q
The following is a DFT calculation (GGA-PBEsol) of a geometry-optimized Be2AgGe structure.

a = 4.174 Å, b = 4.174 Å, c = 4.174 Å
α = 60.00°, β = 60.00°, γ = 60.00°
Positions (direct):
Ag 0.500 0.500 0.500
Ge 0.000 0.000 0.000
Be 0.250 0.250 0.250
Be 0.750 0.750 0.750

Results
D(E_F)   1.53 states/eV/f.u.

Most stable structure: #Q

#P
The following is a DFT calculation (GGA-PBEsol) of a geometry-optimized KBeAg structure.

a = 4.735 Å, b = 4.735 Å, c = 4.735 Å
α = 60.00°, β = 60.00°, γ = 60.00°
Positions (direct):
K 0.000 0.000 0.000
Be 0.750 0.750 0.750
Ag 0.500 0.500 0.500

Results
D(E_F)   1.73 states/eV/f.u.

#Q
The following is a DFT calculation (GGA-PBEsol) of a geometry-optimized KBeAg structure.

a = 4.000 Å, b = 4.000 Å, c = 5.383 Å
α = 90.00°, β = 90.00°, γ = 120.00°
Positions (direct):
Ag 0.000 0.000 0.000
K 0.333 0.667 0.500
Be 0.667 0.333 0.000

Results
D(E_F)   0.97 states/eV/f.u.

#R
The following is a DFT calculation (GGA-PBEsol) of a geometry-optimized KBeAg structure.

a = 3.335 Å, b = 3.335 Å, c = 6.412 Å
α = 105.07°, β = 105.07°, γ = 90.00°
Positions (direct):
Be 0.595 0.595 0.190
Ag 0.069 0.069 0.139
K 0.336 0.336 0.672

Results
D(E_F)   0.88 states/eV/f.u.

Most stable structure: #R

#P
The following is a DFT calculation (GGA-PBEsol) of a geometry-optimized Be2AgPt structure.

a = 3.397 Å, b = 3.397 Å, c = 4.836 Å
α = 110.56°, β = 110.56°, γ = 90.00°
Positions (direct):
Be 0.750 0.250 0.500
Pt 0.500 0.500 0.000
Be 0.000 0.000 0.000
Ag 0.250 0.750 0.500

Results
D(E_F)   1.20 states/eV/f.u.

#Q
The following is a DFT calculation (GGA-PBEsol) of a geometry-optimized Be2AgPt structure.

a = 4.052 Å, b = 4.052 Å, c = 4.052 Å
α = 60.00°, β = 60.00°, γ = 60.00°
Positions (direct):
Be 0.750 0.750 0.750
Pt 0.000 0.000 0.000
Ag 0.500 0.500 0.500
Be 0.250 0.250 0.250

Results
D(E_F)   1.14 states/eV/f.u.

Most stable structure: #Q

#P
The following is a DFT calculation (GGA-PBEsol) of a geometry-optimized ScBeAg2 structure.

a = 2.874 Å, b = 4.945 Å, c = 5.404 Å
α = 115.97°, β = 103.42°, γ = 94.25°
Positions (direct):
Ag 0.000 0.000 0.500
Sc 0.000 0.500 0.000
Be 0.500 0.000 0.000
Ag 0.500 0.500 0.500

Results
D(E_F)   2.68 states/eV/f.u.

#Q
The following is a DFT calculation (GGA-PBEsol) of a geometry-optimized ScBeAg2 structure.

a = 2.997 Å, b = 2.997 Å, c = 6.923 Å
α = 90.00°, β = 90.00°, γ = 90.00°
Positions (direct):
Sc 0.500 0.500 0.500
Ag 0.000 0.000 0.798
Be 0.500 0.500 0.000
Ag 0.000 0.000 0.202

Results
D(E_F)   2.44 states/eV/f.u.

Most stable structure: #Q

#P
The following is a DFT calculation (GGA-PBEsol) of a geometry-optimized Ca2Ag2Bi structure.

a = 3.776 Å, b = 8.115 Å, c = 8.115 Å
α = 90.00°, β = 90.00°, γ = 90.00°
Positions (direct):
Ag 0.000 0.618 0.118
Ca 0.500 0.676 0.824
Ag 0.000 0.382 0.882
Ca 0.500 0.176 0.676
Ca 0.500 0.824 0.324
Ca 0.500 0.324 0.176
Bi 0.000 0.000 0.000
Bi 0.000 0.500 0.500
Ag 0.000 0.882 0.618
Ag 0.000 0.118 0.382

Results
D(E_F)   2.49 states/eV/f.u.

#Q
The following is a DFT calculation (GGA-PBEsol) of a geometry-optimized Ca2Ag2Bi structure.

a = 5.706 Å, b = 5.870 Å, c = 5.706 Å
α = 60.92°, β = 90.00°, γ = 119.08°
Positions (direct):
Ag 0.350 0.701 0.650
Bi 0.000 0.000 0.000
Ca 0.750 0.500 0.750
Ca 0.250 0.500 0.250
Ag 0.650 0.299 0.350

Results
D(E_F)   1.63 states/eV/f.u.

Most stable structure: #P

#P
The following is a DFT calculation (GGA-PBEsol) of a geometry-optimized AgBi2Se2 structure.

a = 5.734 Å, b = 5.970 Å, c = 5.734 Å
α = 61.30°, β = 90.00°, γ = 118.70°
Positions (direct):
Bi 0.684 0.367 0.316
Bi 0.316 0.633 0.684
Se 0.250 0.500 0.250
Ag 0.000 0.000 0.000
Se 0.750 0.500 0.750

Results
D(E_F)   1.99 states/eV/f.u.

#Q
The following is a DFT calculation (GGA-PBEsol) of a geometry-optimized AgBi2Se2 structure.

a = 4.000 Å, b = 8.029 Å, c = 8.029 Å
α = 90.00°, β = 90.00°, γ = 90.00°
Positions (direct):
Se 0.500 0.355 0.145
Bi 0.000 0.820 0.680
Bi 0.000 0.180 0.320
Ag 0.000 0.000 0.000
Se 0.500 0.855 0.355
Bi 0.000 0.320 0.820
Se 0.500 0.645 0.855
Se 0.500 0.145 0.645
Ag 0.000 0.500 0.500
Bi 0.000 0.680 0.180

Results
D(E_F)   2.04 states/eV/f.u.

Most stable structure: #Q

#P
The following is a DFT calculation (GGA-PBEsol) of a geometry-optimized AgBr2Cl structure.

a = 4.142 Å, b = 4.142 Å, c = 8.107 Å
α = 75.20°, β = 75.20°, γ = 60.00°
Positions (direct):
Br 0.895 0.895 0.315
Ag 0.500 0.500 0.500
Br 0.105 0.105 0.685
Cl 0.000 0.000 0.000

Results
D(E_F)   1.09 states/eV/f.u.

#Q
The following is a DFT calculation (GGA-PBEsol) of a geometry-optimized AgBr2Cl structure.

a = 3.984 Å, b = 4.060 Å, c = 7.412 Å
α = 87.52°, β = 90.00°, γ = 119.38°
Positions (direct):
Br 0.089 0.179 0.051
Ag 0.749 0.498 0.267
Cl 0.410 0.820 0.433
Br 0.252 0.504 0.749

#R
The following is a DFT calculation (GGA-PBEsol) of a geometry-optimized AgBr2Cl structure.

a = 4.979 Å, b = 4.979 Å, c = 4.979 Å
α = 60.00°, β = 60.00°, γ = 60.00°
Each line ends with the local moment (μB).
Positions (direct):
Cl 0.250 0.250 0.250  0.16
Br 0.000 0.000 0.000  0.47
Br 0.750 0.750 0.750  0.27
Ag 0.500 0.500 0.500  0.06

Results
D(E_F)   6.05 states/eV/f.u.

#S
The following is a DFT calculation (GGA-PBEsol) of a geometry-optimized AgBr2Cl structure.

a = 3.695 Å, b = 3.980 Å, c = 8.057 Å
α = 90.00°, β = 90.00°, γ = 117.66°
Positions (direct):
Br 0.500 0.000 0.235
Cl 0.000 0.000 0.554
Ag 0.500 0.000 0.747
Br 0.000 0.000 0.964

Results
D(E_F)   1.62 states/eV/f.u.

Most stable structure: #Q

#P
The following is a DFT calculation (GGA-PBEsol) of a geometry-optimized AgBrCl2 structure.

a = 3.661 Å, b = 3.974 Å, c = 7.875 Å
α = 90.00°, β = 90.00°, γ = 117.42°
Positions (direct):
Cl 0.000 0.000 0.975
Ag 0.000 0.000 0.500
Cl 0.500 0.000 0.304
Br 0.500 0.000 0.721

Results
D(E_F)   0.12 states/eV/f.u.

#Q
The following is a DFT calculation (GGA-PBEsol) of a geometry-optimized AgBrCl2 structure.

a = 4.014 Å, b = 4.014 Å, c = 7.879 Å
α = 75.24°, β = 75.24°, γ = 60.00°
Positions (direct):
Br 0.000 0.000 0.000
Ag 0.500 0.500 0.500
Cl 0.107 0.107 0.680
Cl 0.893 0.893 0.320

#R
The following is a DFT calculation (GGA-PBEsol) of a geometry-optimized AgBrCl2 structure.

a = 3.544 Å, b = 5.238 Å, c = 5.257 Å
α = 100.67°, β = 90.00°, γ = 90.00°
Positions (direct):
Br 0.500 0.500 0.000
Cl 0.000 0.200 0.299
Cl 0.000 0.800 0.701
Ag 0.500 0.000 0.500

Results
D(E_F)   2.00 states/eV/f.u.

Most stable structure: #Q

#P
The following is a DFT calculation (GGA-PBEsol) of a geometry-optimized Cu2AgBr structure.

a = 3.469 Å, b = 4.248 Å, c = 4.235 Å
α = 90.00°, β = 90.00°, γ = 90.00°
Positions (direct):
Cu 0.000 0.500 0.500
Br 0.500 0.000 0.500
Cu 0.000 0.000 0.000
Ag 0.500 0.500 0.000

Results
D(E_F)   0.94 states/eV/f.u.

#Q
The following is a DFT calculation (GGA-PBEsol) of a geometry-optimized Cu2AgBr structure.

a = 3.709 Å, b = 3.709 Å, c = 6.294 Å
α = 72.86°, β = 72.86°, γ = 60.00°
Positions (direct):
Ag 0.479 0.479 0.564
Cu 0.740 0.740 0.779
Br 0.264 0.264 0.207
Cu 0.017 0.017 0.950

Results
D(E_F)   0.62 states/eV/f.u.

Most stable structure: #Q

#P
The following is a DFT calculation (GGA-PBEsol) of a geometry-optimized CuAgBr2 structure.

a = 3.907 Å, b = 4.165 Å, c = 5.756 Å
α = 91.04°, β = 90.00°, γ = 90.00°
Positions (direct):
Cu 0.000 0.613 0.519
Br 0.500 0.452 0.313
Ag 0.500 0.459 0.833
Br 0.000 0.975 0.836

Results
D(E_F)   0.45 states/eV/f.u.

#Q
The following is a DFT calculation (GGA-PBEsol) of a geometry-optimized CuAgBr2 structure.

a = 5.921 Å, b = 5.921 Å, c = 7.065 Å
α = 114.77°, β = 114.77°, γ = 90.00°
Positions (direct):
Br 0.840 0.375 0.250
Ag 0.000 0.000 0.000
Ag 0.250 0.750 0.500
Br 0.410 0.875 0.250
Cu 0.500 0.500 0.000
Br 0.125 0.160 0.750
Cu 0.750 0.250 0.500
Br 0.625 0.590 0.750

Results
D(E_F)   0.02 states/eV/f.u.

#R
The following is a DFT calculation (GGA-PBEsol) of a geometry-optimized CuAgBr2 structure.

a = 3.915 Å, b = 3.915 Å, c = 7.222 Å
α = 74.27°, β = 74.27°, γ = 60.00°
Positions (direct):
Br 0.789 0.789 0.633
Cu 0.498 0.498 0.506
Ag 0.240 0.240 0.281
Br 0.973 0.973 0.081

Results
D(E_F)   0.26 states/eV/f.u.

Most stable structure: #Q